4
Lattice="3.2599 0.0000 0.0000 1.6300 2.8232 0.0000 1.6300 0.9411 10.8393" Properties=species:S:1:pos:R:3 comment="NdHf2Zr PBE-GGA relaxed" total_magnetization_mub_per_fu=0.00 formation_enthalpy_0k_ev_per_atom=0.18 e_above_lowest_polymorph_ev_per_atom=0.016 pbc="T T T"
Nd 3.2599 1.8821 5.4196
Hf 4.8899 2.8232 8.3207
Hf 1.6300 0.9411 2.5185
Zr 0.0000 0.0000 0.0000